No. 1
Here is crystalline HoSc4Al2 at its relaxed geometry from Alexandria via LeMat-Bulk. Energies are from PBE-GGA.

Summary:
- final energy (eV/cell) = -35.59
- crystal system = tetragonal
- calculated formation energy (eV per atom) = 0.26
- energy relative to the lowest polymorph listed for this composition (eV/atom) = 0.5166

abc: 5.3031 5.3031 7.0576
angles: 112.07 112.07 90.00
Site moments in Bohr magnetons follow the coordinates.
Fractional positions:
Ho  0.0000  0.0000  0.0000  0.19
Sc  0.7500  0.2500  0.5000  0.22
Sc  0.2500  0.7500  0.5000  0.22
Sc  0.5000  0.0000  0.0000  0.24
Sc  0.0000  0.5000  0.0000  0.24
Al  0.6179  0.6179  0.2359  0.00
Al  0.3821  0.3821  0.7641  0.00

No. 2
Here is crystalline Sm4F at its relaxed geometry from Alexandria via LeMat-Bulk. Energies are from PBE-GGA.

Summary:
- formation energy (no corrections) (eV per atom) = -0.96
- final energy (eV/cell) = -25.56
- crystal system = cubic

abc: 5.1448 5.1448 5.1448
angles: 90.00 90.00 90.00
Fractional positions:
Sm  0.0000  0.0000  0.0000
Sm  0.5000  0.0000  0.5000
Sm  0.0000  0.5000  0.5000
Sm  0.5000  0.5000  0.0000
F  0.5000  0.5000  0.5000

No. 3
Here is crystalline Ca3Ni at its relaxed geometry from Alexandria via LeMat-Bulk. Energies are from PBE-GGA.

Summary:
- final energy (eV/cell) = -10.28
- crystal system = trigonal
- calculated formation energy (eV per atom) = 0.38

abc: 6.3218 6.3218 6.3218
angles: 116.49 116.49 116.49
Site moments in Bohr magnetons follow the coordinates.
Fractional positions:
Ni  0.0000  0.5000  0.5000  0.30
Ca  0.0000  0.0000  0.0000  0.00
Ca  0.5000  0.0000  0.5000  0.00
Ca  0.5000  0.5000  0.0000  0.00

No. 4
Here is crystalline SrMnZn at its relaxed geometry from Alexandria via LeMat-Bulk. Energies are from PBE-GGA.

Summary:
- final energy (eV/cell) = -11.41
- crystal system = tetragonal
- calculated formation energy (eV per atom) = 0.24

abc: 6.2428 6.2428 3.5191
angles: 73.63 73.63 32.74
Site moments in Bohr magnetons follow the coordinates.
Fractional positions:
Mn  0.0431  0.0431  0.9569  3.72
Sr  0.3314  0.3314  0.6686  -0.03
Zn  0.6255  0.6255  0.3745  -0.05

No. 5
Here is crystalline KTlNiHg2 at its relaxed geometry from Alexandria via LeMat-Bulk. Energies are from PBE-GGA.

Summary:
- final energy (eV/cell) = -10.27
- crystal system = tetragonal
- calculated formation energy (eV per atom) = -0.08

abc: 5.2227 5.2227 5.1000
angles: 90.00 90.00 90.00
Fractional positions:
K  0.5000  0.5000  0.5000
Ni  0.0000  0.0000  0.0000
Tl  0.0000  0.0000  0.5000
Hg  0.0000  0.5000  0.0000
Hg  0.5000  0.0000  0.0000

No. 6
Here is crystalline LaHgPd2 at its relaxed geometry from Alexandria via LeMat-Bulk. Energies are from PBE-GGA.

Summary:
- final energy (eV/cell) = -17.69
- crystal system = tetragonal
- calculated formation energy (eV per atom) = -0.52

abc: 3.7127 3.7127 6.2901
angles: 90.00 90.00 90.00
Fractional positions:
Hg  0.5000  0.5000  0.5000
Pd  0.0000  0.0000  0.7318
Pd  0.0000  0.0000  0.2682
La  0.5000  0.5000  0.0000